Record 1
! ThCu6Au6 GGA-PBE optimized geometry; values from VASP
! Fermi-level density of states: 0.33 states/eV/atom
! final energy: -4.21 eV per atom
! V: 16.44 A^3/atom
! ρ: 14.0 g/cm3
! SG: No. 71
&SYSTEM
  ibrav = 0, nat = 13, ntyp = 3
/
ATOMIC_SPECIES
Th 232.04 Th.upf
Cu 63.55 Cu.upf
Au 196.97 Au.upf
CELL_PARAMETERS angstrom
5.2026 0.0000 0.0000
2.6013 6.4082 -0.0839
2.6013 0.0695 6.4083
ATOMIC_POSITIONS angstrom
Th 0.0000 0.0000 0.0000
Cu 1.3007 3.2041 -0.0420
Cu 3.9020 3.2041 -0.0420
Cu 1.3007 0.0347 3.2042
Cu 3.9020 0.0347 3.2042
Cu 5.2026 4.9271 1.4330
Cu 5.2026 1.5506 4.8914
Au 5.2026 4.2496 4.1490
Au 5.2026 2.2281 2.1754
Au 2.6013 2.2045 4.2215
Au 2.6013 4.2731 2.1029
Au 2.6013 1.2427 1.2133
Au 7.8040 5.2349 5.1111

=====

Record 2
! ThCu4Au8 GGA-PBE optimized geometry; values from VASP
! Fermi-level density of states: 0.29 states/eV/atom
! final energy: -4.10 eV per atom
! V: 17.45 A^3/atom
! ρ: 15.1 g/cm3
! SG: No. 139
&SYSTEM
  ibrav = 0, nat = 13, ntyp = 3
/
ATOMIC_SPECIES
Th 232.04 Th.upf
Cu 63.55 Cu.upf
Au 196.97 Au.upf
CELL_PARAMETERS angstrom
-3.2788 3.9871 -1.2799
-5.6842 0.2103 4.1670
1.5351 5.9304 3.4917
ATOMIC_POSITIONS angstrom
Th 0.0000 0.0000 0.0000
Cu 0.7675 2.9652 1.7459
Cu -0.8719 4.9588 1.1059
Cu -2.8421 0.1051 2.0835
Cu -4.4815 2.0987 1.4436
Au -0.9074 3.9952 3.7202
Au -3.2418 2.1456 3.9385
Au -3.8547 5.4121 4.6346
Au -3.5733 4.7157 1.7443
Au -5.7491 3.4514 3.3798
Au -1.6789 6.6764 2.9991
Au -1.8292 2.4632 1.3095
Au -5.5988 7.6646 5.0693

=====

Record 3
! Th2Cu3Au GGA-PBE optimized geometry; values from VASP
! Fermi-level density of states: 0.81 states/eV/atom
! final energy: -5.34 eV per atom
! V: 21.12 A^3/atom
! ρ: 11.2 g/cm3
! SG: No. 44
&SYSTEM
  ibrav = 0, nat = 6, ntyp = 3
/
ATOMIC_SPECIES
Th 232.04 Th.upf
Cu 63.55 Cu.upf
Au 196.97 Au.upf
CELL_PARAMETERS angstrom
3.6499 0.0000 -0.9715
-0.3042 4.0218 -1.1430
0.3024 0.2474 8.4778
ATOMIC_POSITIONS angstrom
Th 0.5150 0.5888 1.9347
Th 3.2751 1.6580 4.9623
Cu 2.4725 2.9252 1.9470
Cu 1.8728 2.2395 -0.3060
Cu 1.0046 3.3334 3.7742
Au 1.6519 4.0735 6.2060

=====

Question: Which value of V does entry 1 give?
Answer: 16.44 A^3/atom

=====

What did the second record say?
! ThCu4Au8 GGA-PBE optimized geometry; values from VASP
! Fermi-level density of states: 0.29 states/eV/atom
! final energy: -4.10 eV per atom
! V: 17.45 A^3/atom
! ρ: 15.1 g/cm3
! SG: No. 139
&SYSTEM
  ibrav = 0, nat = 13, ntyp = 3
/
ATOMIC_SPECIES
Th 232.04 Th.upf
Cu 63.55 Cu.upf
Au 196.97 Au.upf
CELL_PARAMETERS angstrom
-3.2788 3.9871 -1.2799
-5.6842 0.2103 4.1670
1.5351 5.9304 3.4917
ATOMIC_POSITIONS angstrom
Th 0.0000 0.0000 0.0000
Cu 0.7675 2.9652 1.7459
Cu -0.8719 4.9588 1.1059
Cu -2.8421 0.1051 2.0835
Cu -4.4815 2.0987 1.4436
Au -0.9074 3.9952 3.7202
Au -3.2418 2.1456 3.9385
Au -3.8547 5.4121 4.6346
Au -3.5733 4.7157 1.7443
Au -5.7491 3.4514 3.3798
Au -1.6789 6.6764 2.9991
Au -1.8292 2.4632 1.3095
Au -5.5988 7.6646 5.0693

=====

Question: Among the records above, which one has the lowest final energy?
Answer: Th2Cu3Au

=====

Repeat the second record exactly.
! ThCu4Au8 GGA-PBE optimized geometry; values from VASP
! Fermi-level density of states: 0.29 states/eV/atom
! final energy: -4.10 eV per atom
! V: 17.45 A^3/atom
! ρ: 15.1 g/cm3
! SG: No. 139
&SYSTEM
  ibrav = 0, nat = 13, ntyp = 3
/
ATOMIC_SPECIES
Th 232.04 Th.upf
Cu 63.55 Cu.upf
Au 196.97 Au.upf
CELL_PARAMETERS angstrom
-3.2788 3.9871 -1.2799
-5.6842 0.2103 4.1670
1.5351 5.9304 3.4917
ATOMIC_POSITIONS angstrom
Th 0.0000 0.0000 0.0000
Cu 0.7675 2.9652 1.7459
Cu -0.8719 4.9588 1.1059
Cu -2.8421 0.1051 2.0835
Cu -4.4815 2.0987 1.4436
Au -0.9074 3.9952 3.7202
Au -3.2418 2.1456 3.9385
Au -3.8547 5.4121 4.6346
Au -3.5733 4.7157 1.7443
Au -5.7491 3.4514 3.3798
Au -1.6789 6.6764 2.9991
Au -1.8292 2.4632 1.3095
Au -5.5988 7.6646 5.0693